## LiTa2Br (GGA-PBE)

Data for a relaxed structure of LiTa2Br.

```
data_LiTa2Br
_chemical_formula_sum 'Li1 Ta2 Br1'
_cell_length_a 3.794
_cell_length_b 3.794
_cell_length_c 5.574
_cell_angle_alpha 90.00
_cell_angle_beta 90.00
_cell_angle_gamma 90.00
_symmetry_space_group_name_H-M 'P 4/m m m'
_symmetry_Int_Tables_number 123
_symmetry_space_group_name_Hall '-P 4 2'
loop_
_atom_site_label
_atom_site_fract_x
_atom_site_fract_y
_atom_site_fract_z
_atom_site_occupancy
Li1 0.000 0.000 0.000 1
Ta1 0.000 0.500 0.500 1
Br1 0.500 0.500 0.000 1
```

Calculated values
Uncorrected energy (eV per formula unit): -24.732
Density of states at the Fermi level (states/eV per cell): 3.74
Relative energy among the computed polymorphs (meV per atom): 582
Formation energy from raw total energies (meV per atom): 640